Record 1
# DyLuAl2, relaxed, DFT GGA-PBE
# DFT total energy = -4.3528 eV/atom
data_DyLuAl2
_space_group_name_H-M_alt 'P 1'
_space_group_IT_number 1
_space_group_name_Hall 'P 1'
_cell_length_a 5.0589
_cell_length_b 11.8744
_cell_length_c 6.1702
_cell_angle_alpha 90.00
_cell_angle_beta 90.00
_cell_angle_gamma 90.00
loop_
_atom_site_label
_atom_site_fract_x
_atom_site_fract_y
_atom_site_fract_z
Dy1 0.2500 0.1924 0.0000
Dy2 0.2500 0.6924 0.5000
Dy3 0.7500 0.3076 0.5000
Dy4 0.7500 0.8076 0.0000
Lu1 0.2500 0.4240 0.2539
Lu2 0.2500 0.9240 0.7539
Lu3 0.7500 0.0760 0.7539
Lu4 0.7500 0.5760 0.2539
Al1 0.2500 0.1519 0.4972
Al2 0.2500 0.4391 0.7602
Al3 0.2500 0.6519 0.9972
Al4 0.2500 0.9391 0.2602
Al5 0.7500 0.0609 0.2602
Al6 0.7500 0.3481 0.9972
Al7 0.7500 0.5609 0.7602
Al8 0.7500 0.8481 0.4972



Record 2
# DyLuAl, relaxed, DFT GGA-PBE
# DFT total energy = -3.7790 eV/atom
data_DyLuAl
_space_group_name_H-M_alt 'P 1'
_space_group_IT_number 1
_space_group_name_Hall 'P 1'
_cell_length_a 7.1038
_cell_length_b 7.1038
_cell_length_c 7.1038
_cell_angle_alpha 90.00
_cell_angle_beta 90.00
_cell_angle_gamma 90.00
loop_
_atom_site_label
_atom_site_fract_x
_atom_site_fract_y
_atom_site_fract_z
Dy1 0.0000 0.0000 0.0000
Dy2 0.0000 0.5000 0.5000
Dy3 0.5000 0.0000 0.5000
Dy4 0.5000 0.5000 0.0000
Lu1 0.2500 0.2500 0.7500
Lu2 0.2500 0.7500 0.2500
Lu3 0.7500 0.2500 0.2500
Lu4 0.7500 0.7500 0.7500
Al1 0.0000 0.0000 0.5000
Al2 0.0000 0.5000 0.0000
Al3 0.5000 0.0000 0.0000
Al4 0.5000 0.5000 0.5000



Record 3
# DyLu2Al, relaxed, DFT GGA-PBE
# Energy above the lowest structure with this stoichiometry = 101 meV/atom
# DFT total energy = -4.4439 eV/atom
data_DyLu2Al
_space_group_name_H-M_alt 'P 1'
_space_group_IT_number 1
_space_group_name_Hall 'P 1'
_cell_length_a 5.2604
_cell_length_b 6.9156
_cell_length_c 11.6561
_cell_angle_alpha 90.00
_cell_angle_beta 90.00
_cell_angle_gamma 90.00
loop_
_atom_site_label
_atom_site_fract_x
_atom_site_fract_y
_atom_site_fract_z
Dy1 0.0000 0.0000 0.0000
Dy2 0.0000 0.5000 0.5000
Dy3 0.5000 0.0000 0.3051
Dy4 0.5000 0.5000 0.8051
Lu1 0.0000 0.0000 0.4830
Lu2 0.0000 0.5000 0.9830
Lu3 0.5000 0.0000 0.8223
Lu4 0.5000 0.2408 0.5739
Lu5 0.5000 0.2592 0.0739
Lu6 0.5000 0.5000 0.3223
Lu7 0.5000 0.7408 0.0739
Lu8 0.5000 0.7592 0.5739
Al1 0.0000 0.2134 0.7294
Al2 0.0000 0.2866 0.2294
Al3 0.0000 0.7134 0.2294
Al4 0.0000 0.7866 0.7294



Record 4
# DyLuAl2, relaxed, DFT GGA-PBE
# DFT total energy = -4.5354 eV/atom
data_DyLuAl2
_space_group_name_H-M_alt 'P 1'
_space_group_IT_number 1
_space_group_name_Hall 'P 1'
_cell_length_a 7.0305
_cell_length_b 10.1745
_cell_length_c 5.0559
_cell_angle_alpha 90.00
_cell_angle_beta 90.00
_cell_angle_gamma 90.00
loop_
_atom_site_label
_atom_site_fract_x
_atom_site_fract_y
_atom_site_fract_z
Dy1 0.0000 0.1298 0.2500
Dy2 0.0000 0.8702 0.7500
Dy3 0.5000 0.3702 0.7500
Dy4 0.5000 0.6298 0.2500
Lu1 0.0000 0.3624 0.7500
Lu2 0.0000 0.6376 0.2500
Lu3 0.5000 0.1376 0.2500
Lu4 0.5000 0.8624 0.7500
Al1 0.2390 0.3864 0.2500
Al2 0.2390 0.6136 0.7500
Al3 0.2610 0.1136 0.7500
Al4 0.2610 0.8864 0.2500
Al5 0.7390 0.1136 0.7500
Al6 0.7390 0.8864 0.2500
Al7 0.7610 0.3864 0.2500
Al8 0.7610 0.6136 0.7500



Record 5
# DyLuAl2, relaxed, DFT GGA-PBE
# DFT total energy = -4.3723 eV/atom
data_DyLuAl2
_space_group_name_H-M_alt 'P 1'
_space_group_IT_number 1
_space_group_name_Hall 'P 1'
_cell_length_a 4.9930
_cell_length_b 6.5882
_cell_length_c 11.2290
_cell_angle_alpha 90.00
_cell_angle_beta 90.00
_cell_angle_gamma 90.00
loop_
_atom_site_label
_atom_site_fract_x
_atom_site_fract_y
_atom_site_fract_z
Dy1 0.0000 0.0000 0.0000
Dy2 0.0000 0.5000 0.5000
Dy3 0.5000 0.0000 0.3322
Dy4 0.5000 0.5000 0.8322
Lu1 0.5000 0.2342 0.5891
Lu2 0.5000 0.2658 0.0891
Lu3 0.5000 0.7342 0.0891
Lu4 0.5000 0.7658 0.5891
Al1 0.0000 0.0000 0.5096
Al2 0.0000 0.2138 0.7454
Al3 0.0000 0.2862 0.2454
Al4 0.0000 0.5000 0.0096
Al5 0.0000 0.7138 0.2454
Al6 0.0000 0.7862 0.7454
Al7 0.5000 0.0000 0.8309
Al8 0.5000 0.5000 0.3309



Record 6
# DyLu2Al, relaxed, DFT GGA-PBE
# Energy above the lowest structure with this stoichiometry = 25 meV/atom
# DFT total energy = -4.5202 eV/atom
data_DyLu2Al
_space_group_name_H-M_alt 'P 1'
_space_group_IT_number 1
_space_group_name_Hall 'P 1'
_cell_length_a 4.9542
_cell_length_b 10.3538
_cell_length_c 8.2700
_cell_angle_alpha 90.00
_cell_angle_beta 90.00
_cell_angle_gamma 90.00
loop_
_atom_site_label
_atom_site_fract_x
_atom_site_fract_y
_atom_site_fract_z
Dy1 0.2500 0.1119 0.0000
Dy2 0.2500 0.6119 0.5000
Dy3 0.7500 0.3881 0.5000
Dy4 0.7500 0.8881 0.0000
Lu1 0.2500 0.1103 0.5868
Lu2 0.2500 0.3810 0.7954
Lu3 0.2500 0.6103 0.0868
Lu4 0.2500 0.8810 0.2954
Lu5 0.7500 0.1190 0.2954
Lu6 0.7500 0.3897 0.0868
Lu7 0.7500 0.6190 0.7954
Lu8 0.7500 0.8897 0.5868
Al1 0.2500 0.3257 0.2913
Al2 0.2500 0.8257 0.7913
Al3 0.7500 0.1743 0.7913
Al4 0.7500 0.6743 0.2913



Record 7
# Dy2Lu3Al3, relaxed, DFT GGA-PBE
# Energy above the lowest structure with this stoichiometry = 99 meV/atom
# DFT total energy = -4.3976 eV/atom
data_Dy2Lu3Al3
_space_group_name_H-M_alt 'P 1'
_space_group_IT_number 1
_space_group_name_Hall 'P 1'
_cell_length_a 6.7960
_cell_length_b 6.7960
_cell_length_c 5.0607
_cell_angle_alpha 90.00
_cell_angle_beta 90.00
_cell_angle_gamma 120.00
loop_
_atom_site_label
_atom_site_fract_x
_atom_site_fract_y
_atom_site_fract_z
Dy1 0.0000 0.0000 0.0000
Dy2 0.3333 0.6667 0.5000
Lu1 0.3478 0.1739 0.5000
Lu2 0.8261 0.1739 0.5000
Lu3 0.8261 0.6522 0.5000
Al1 0.5237 0.0474 0.0000
Al2 0.5237 0.4763 0.0000
Al3 0.9526 0.4763 0.0000



Record 8
# Dy2Lu3Al3, relaxed, DFT GGA-PBE
# Energy above the lowest structure with this stoichiometry = 0 meV/atom
# DFT total energy = -4.4962 eV/atom
data_Dy2Lu3Al3
_space_group_name_H-M_alt 'P 1'
_space_group_IT_number 1
_space_group_name_Hall 'P 1'
_cell_length_a 6.4349
_cell_length_b 4.9175
_cell_length_c 6.4469
_cell_angle_alpha 90.00
_cell_angle_beta 103.44
_cell_angle_gamma 90.00
loop_
_atom_site_label
_atom_site_fract_x
_atom_site_fract_y
_atom_site_fract_z
Dy1 0.0000 0.0000 0.0000
Dy2 0.3016 0.5000 0.7864
Lu1 0.2918 0.5000 0.2847
Lu2 0.5779 0.0000 0.5667
Lu3 0.7902 0.5000 0.2841
Al1 0.0745 0.0000 0.5022
Al2 0.5079 0.0000 0.0725
Al3 0.7942 0.5000 0.7769



Record 9
# DyLu2Al, relaxed, DFT GGA-PBE
# Energy above the lowest structure with this stoichiometry = 0 meV/atom
# DFT total energy = -4.5450 eV/atom
data_DyLu2Al
_space_group_name_H-M_alt 'P 1'
_space_group_IT_number 1
_space_group_name_Hall 'P 1'
_cell_length_a 6.6938
_cell_length_b 11.6698
_cell_length_c 5.2647
_cell_angle_alpha 90.00
_cell_angle_beta 90.00
_cell_angle_gamma 90.00
loop_
_atom_site_label
_atom_site_fract_x
_atom_site_fract_y
_atom_site_fract_z
Dy1 0.0000 0.1747 0.2500
Dy2 0.0000 0.8253 0.7500
Dy3 0.5000 0.3253 0.7500
Dy4 0.5000 0.6747 0.2500
Lu1 0.2402 0.4144 0.2500
Lu2 0.2402 0.5856 0.7500
Lu3 0.2598 0.0856 0.7500
Lu4 0.2598 0.9144 0.2500
Lu5 0.7402 0.0856 0.7500
Lu6 0.7402 0.9144 0.2500
Lu7 0.7598 0.4144 0.2500
Lu8 0.7598 0.5856 0.7500
Al1 0.0000 0.3359 0.7500
Al2 0.0000 0.6641 0.2500
Al3 0.5000 0.1641 0.2500
Al4 0.5000 0.8359 0.7500



Record 10
# Dy2Lu5Al, relaxed, DFT GGA-PBE
# DFT total energy = -4.4868 eV/atom
data_Dy2Lu5Al
_space_group_name_H-M_alt 'P 1'
_space_group_IT_number 1
_space_group_name_Hall 'P 1'
_cell_length_a 5.4356
_cell_length_b 6.9087
_cell_length_c 11.9715
_cell_angle_alpha 90.00
_cell_angle_beta 90.00
_cell_angle_gamma 90.00
loop_
_atom_site_label
_atom_site_fract_x
_atom_site_fract_y
_atom_site_fract_z
Dy1 0.0000 0.0000 0.0000
Dy2 0.0000 0.5000 0.5000
Dy3 0.5000 0.0000 0.3415
Dy4 0.5000 0.5000 0.8415
Lu1 0.0000 0.2447 0.7542
Lu2 0.0000 0.2553 0.2542
Lu3 0.0000 0.7447 0.2542
Lu4 0.0000 0.7553 0.7542
Lu5 0.5000 0.0000 0.8357
Lu6 0.5000 0.2448 0.5853
Lu7 0.5000 0.2552 0.0853
Lu8 0.5000 0.5000 0.3357
Lu9 0.5000 0.7448 0.0853
Lu10 0.5000 0.7552 0.5853
Al1 0.0000 0.0000 0.5062
Al2 0.0000 0.5000 0.0062



Record 11
# Dy3Mg3AlPd2, relaxed, DFT GGA-PBE
# DFT total energy = -4.1332 eV/atom
data_Dy3Mg3AlPd2
_space_group_name_H-M_alt 'P 1'
_space_group_IT_number 1
_space_group_name_Hall 'P 1'
_cell_length_a 7.4652
_cell_length_b 7.4652
_cell_length_c 4.1417
_cell_angle_alpha 90.00
_cell_angle_beta 90.00
_cell_angle_gamma 120.00
loop_
_atom_site_label
_atom_site_fract_x
_atom_site_fract_y
_atom_site_fract_z
Dy1 0.0000 0.4189 0.0000
Dy2 0.4189 0.0000 0.0000
Dy3 0.5811 0.5811 0.0000
Mg1 0.0000 0.7480 0.5000
Mg2 0.2520 0.2520 0.5000
Mg3 0.7480 0.0000 0.5000
Al1 0.0000 0.0000 0.0000
Pd1 0.3333 0.6667 0.5000
Pd2 0.6667 0.3333 0.5000



Record 12
# PmDyMgAl, relaxed, DFT GGA-PBE
# DFT total energy = -3.9274 eV/atom
data_PmDyMgAl
_space_group_name_H-M_alt 'P 1'
_space_group_IT_number 1
_space_group_name_Hall 'P 1'
_cell_length_a 7.4440
_cell_length_b 7.4440
_cell_length_c 7.4440
_cell_angle_alpha 90.00
_cell_angle_beta 90.00
_cell_angle_gamma 90.00
loop_
_atom_site_label
_atom_site_fract_x
_atom_site_fract_y
_atom_site_fract_z
Pm1 0.0000 0.0000 0.0000
Pm2 0.0000 0.5000 0.5000
Pm3 0.5000 0.0000 0.5000
Pm4 0.5000 0.5000 0.0000
Dy1 0.0000 0.0000 0.5000
Dy2 0.0000 0.5000 0.0000
Dy3 0.5000 0.0000 0.0000
Dy4 0.5000 0.5000 0.5000
Mg1 0.2500 0.2500 0.2500
Mg2 0.2500 0.7500 0.7500
Mg3 0.7500 0.2500 0.7500
Mg4 0.7500 0.7500 0.2500
Al1 0.2500 0.2500 0.7500
Al2 0.2500 0.7500 0.2500
Al3 0.7500 0.2500 0.2500
Al4 0.7500 0.7500 0.7500



no.,mass density (Mg/m³)
1,7.01
2,6.75
3,8.45
4,7.19
5,7.04
6,8.45
7,7.64
8,7.79
9,8.71
10,9.06
11,6.65
12,5.78